Compound: Sr4Al6WO16
Source: the Alexandria database
Functional: PBE with a Hubbard U
Structure: relaxed

Computed properties:
Its total energy is -7.219 eV/atom. The volume is 447 Å³ per cell.

Lattice parameters (Å, degrees): 8.344 8.344 8.344 109.47 109.47 109.47
Fractional coordinates of all 27 atoms:
W 0.000 0.000 0.000
O 0.656 0.000 0.340
O 0.656 0.340 0.000
O 0.344 0.683 0.344
O 0.216 0.216 0.216
O 0.000 0.340 0.656
O 0.340 0.656 0.000
O 0.683 0.344 0.344
O 0.344 0.344 0.683
O 0.000 0.784 0.000
O 0.340 0.000 0.656
O 0.000 0.000 0.784
O 0.000 0.656 0.340
O 0.660 0.317 0.660
O 0.660 0.660 0.317
O 0.317 0.660 0.660
O 0.784 0.000 0.000
Sr 0.504 0.504 0.504
Sr 0.496 0.000 0.000
Sr 0.000 0.496 0.000
Sr 0.000 0.000 0.496
Al 0.750 0.500 0.250
Al 0.750 0.250 0.500
Al 0.250 0.750 0.500
Al 0.500 0.250 0.750
Al 0.500 0.750 0.250
Al 0.250 0.500 0.750